Entry 1:
# GGA-PBE ScInCuNi, relaxed
data_ScInCuNi
_symmetry_space_group_name_H-M 'F -4 3 m'
_symmetry_Int_Tables_number 216
_symmetry_space_group_name_Hall 'F -4 2 3'
_cell_length_a 6.365
_cell_length_b 6.365
_cell_length_c 6.365
_cell_angle_alpha 90.00
_cell_angle_beta 90.00
_cell_angle_gamma 90.00
loop_
_atom_site_label
_atom_site_type_symbol
_atom_site_fract_x
_atom_site_fract_y
_atom_site_fract_z
Sc1 Sc 0.000 0.000 0.000
In1 In 0.250 0.250 0.750
Cu1 Cu 0.250 0.250 0.250
Ni1 Ni 0.000 0.000 0.500
# Raw total energy in eV for the cell shown: -76.23

=====

Entry 2:
# GGA-PBE SrMgNiSn, relaxed
data_SrMgNiSn
_symmetry_space_group_name_H-M 'F -4 3 m'
_symmetry_Int_Tables_number 216
_symmetry_space_group_name_Hall 'F -4 2 3'
_cell_length_a 7.219
_cell_length_b 7.219
_cell_length_c 7.219
_cell_angle_alpha 90.00
_cell_angle_beta 90.00
_cell_angle_gamma 90.00
loop_
_atom_site_label
_atom_site_type_symbol
_atom_site_fract_x
_atom_site_fract_y
_atom_site_fract_z
Sr1 Sr 0.000 0.000 0.000
Mg1 Mg 0.000 0.000 0.500
Ni1 Ni 0.250 0.250 0.750
Sn1 Sn 0.250 0.250 0.250
# Raw total energy in eV for the cell shown: -51.82

=====

Entry 3:
# GGA-PBE ScPAuO, relaxed
data_ScPAuO
_symmetry_space_group_name_H-M 'P 4/n m m'
_symmetry_Int_Tables_number 129
_cell_length_a 5.313
_cell_length_b 5.313
_cell_length_c 4.575
_cell_angle_alpha 90.00
_cell_angle_beta 90.00
_cell_angle_gamma 90.00
loop_
_symmetry_equiv_pos_as_xyz
'x,y,z'
'-x,-y,-z'
'-y+1/2,x,z'
'y+1/2,-x,-z'
'-x+1/2,-y+1/2,z'
'x+1/2,y+1/2,-z'
'y,-x+1/2,z'
'-y,x+1/2,-z'
'x+1/2,-y,-z'
'-x+1/2,y,z'
'-y,-x,-z'
'y,x,z'
'-x,y+1/2,-z'
'x,-y+1/2,z'
'y+1/2,x+1/2,-z'
'-y+1/2,-x+1/2,z'
loop_
_atom_site_label
_atom_site_type_symbol
_atom_site_fract_x
_atom_site_fract_y
_atom_site_fract_z
Sc1 Sc 0.250 0.750 0.000
P1 P 0.250 0.250 0.010
Au1 Au 0.250 0.250 0.510
O1 O 0.250 0.750 0.500
# Raw total energy in eV for the cell shown: -47.07

=====

Entry 4:
# GGA-PBE LaDySi4Ni2, relaxed
data_LaDySi4Ni2
_symmetry_space_group_name_H-M 'A m m 2'
_symmetry_Int_Tables_number 38
_cell_length_a 4.043
_cell_length_b 4.112
_cell_length_c 16.477
_cell_angle_alpha 90.00
_cell_angle_beta 90.00
_cell_angle_gamma 90.00
loop_
_symmetry_equiv_pos_as_xyz
'x,y,z'
'-x,-y,z'
'-x,y,z'
'x,-y,z'
'x,y+1/2,z+1/2'
'-x,-y+1/2,z+1/2'
'-x,y+1/2,z+1/2'
'x,-y+1/2,z+1/2'
loop_
_atom_site_label
_atom_site_type_symbol
_atom_site_fract_x
_atom_site_fract_y
_atom_site_fract_z
La1 La 0.000 0.000 0.000
Dy1 Dy 0.500 0.000 0.213
Si1 Si 0.000 0.000 0.353
Si2 Si 0.000 0.000 0.648
Si3 Si 0.500 0.000 0.568
Si4 Si 0.500 0.000 0.854
Ni1 Ni 0.000 0.000 0.785
Ni2 Ni 0.500 0.000 0.424
# Raw total energy in eV for the cell shown: -97.89